(1)
This record from Alexandria describes AgWS2 after structural relaxation. The functional is PBE.

a = 8.3629 Å, b = 8.3629 Å, c = 8.3629 Å
α = 22.14°, β = 22.14°, γ = 22.14°
Last column: nearest neighbours and their distance in Å.
Sites, in units of the cell vectors:
Ag 0.0000 0.0000 0.0000  2 S 2.50
W 0.5000 0.5000 0.5000  6 S 2.44
S 0.1021 0.1021 0.1021  3 W 2.44, 1 Ag 2.50
S 0.8979 0.8979 0.8979  3 W 2.44, 1 Ag 2.50

The value obtained for the formation energy without anion corrections is -1.11 eV/f.u. As for the space-group type: R-3m, No. 166. For the magnetization, the calculation gives 0.00 μB per formula unit. The calculation puts the energy above the lowest structure with this stoichiometry at 0 meV per atom.



(2)
This record from Alexandria describes YAgW2S after structural relaxation. The functional is PBE.

a = 4.8168 Å, b = 4.8168 Å, c = 5.4618 Å
α = 90.00°, β = 90.00°, γ = 90.00°
Last column: nearest neighbours and their distance in Å.
Sites, in units of the cell vectors:
Y 0.0000 0.0000 0.0000  2 Ag 2.73
Ag 0.0000 0.0000 0.5000  4 W 2.41
W 0.0000 0.5000 0.5000  2 Ag 2.41
W 0.5000 0.0000 0.5000  2 Ag 2.41
S 0.5000 0.5000 0.0000  4 Y 3.41, 8 W 3.64

The value obtained for the formation energy without anion corrections is 10.14 eV/f.u. As for the space-group type: P4/mmm, No. 123. For the magnetization, the calculation gives 0.00 μB per formula unit.



(3)
This record from Alexandria describes Y2AgS2 after structural relaxation. The functional is PBE.

a = 7.6618 Å, b = 7.6618 Å, c = 3.4958 Å
α = 90.00°, β = 90.00°, γ = 90.00°
Last column: nearest neighbours and their distance in Å.
Sites, in units of the cell vectors:
Y 0.1592 0.3408 0.0000  6 S 2.79-2.88
Y 0.3408 0.8408 0.0000  6 S 2.79-2.88
Y 0.6592 0.1592 0.0000  6 S 2.79-2.88
Y 0.8408 0.6592 0.0000  6 S 2.79-2.88
Ag 0.0000 0.0000 0.5000  4 S 2.96
Ag 0.5000 0.5000 0.5000  4 S 2.96
S 0.1397 0.6397 0.5000  6 Y 2.79-2.88, 2 Ag 2.96, 1 S 3.03
S 0.3603 0.1397 0.5000  6 Y 2.79-2.88, 2 Ag 2.96, 1 S 3.03
S 0.6397 0.8603 0.5000  6 Y 2.79-2.88, 2 Ag 2.96, 1 S 3.03
S 0.8603 0.3603 0.5000  6 Y 2.79-2.88, 2 Ag 2.96, 1 S 3.03

The value obtained for the formation energy without anion corrections is -6.61 eV/f.u. As for the space-group type: P4/mbm, No. 127. For the magnetization, the calculation gives 0.00 μB per formula unit.



(4)
This record from Alexandria describes Y2Ag4S5 after structural relaxation. The functional is PBE.

a = 17.5646 Å, b = 17.5646 Å, c = 17.5646 Å
α = 13.29°, β = 13.29°, γ = 13.29°
Last column: nearest neighbours and their distance in Å.
Sites, in units of the cell vectors:
Y 0.1360 0.1360 0.1360  6 S 2.76-2.84
Y 0.8640 0.8640 0.8640  6 S 2.76-2.84
Ag 0.3098 0.3098 0.3098  3 S 2.42
Ag 0.4147 0.4147 0.4147  1 S 2.44
Ag 0.5853 0.5853 0.5853  1 S 2.44
Ag 0.6902 0.6902 0.6902  3 S 2.42
S 0.2252 0.2252 0.2252  3 Ag 2.73, 3 Y 2.76
S 0.3680 0.3680 0.3680  4 Ag 2.42-2.44
S 0.5000 0.5000 0.5000  6 Y 2.84
S 0.6320 0.6320 0.6320  4 Ag 2.42-2.44
S 0.7748 0.7748 0.7748  3 Ag 2.73, 3 Y 2.76

The value obtained for the formation energy without anion corrections is -8.56 eV/f.u. As for the space-group type: R-3m, No. 166. For the magnetization, the calculation gives 0.00 μB per formula unit.



Which formula does entry 2 have?
YAgW2S